(1)
# Sr2Zn3GaSn4 PBE optimized geometry
# DOS at the Fermi energy = 3.35 states/eV per cell
# Calculated density = 6.0 g/cm³
data_Sr2Zn3GaSn4
_chemical_formula_sum 'Sr2 Zn3 Ga1 Sn4'
_space_group_name_H-M_alt 'P -4 m 2'
_space_group_IT_number 115
_cell_length_a 4.760
_cell_length_b 4.760
_cell_length_c 11.277
_cell_angle_alpha 90.00
_cell_angle_beta 90.00
_cell_angle_gamma 90.00
loop_
_space_group_symop_operation_xyz
'x,y,z'
'y,-x,-z'
'-x,-y,z'
'-y,x,-z'
'-x,y,z'
'-y,-x,-z'
'x,-y,z'
'y,x,-z'
loop_
_atom_site_label
_atom_site_type_symbol
_atom_site_fract_x
_atom_site_fract_y
_atom_site_fract_z
Sr1 Sr 0.000 0.500 0.245
Zn1 Zn 0.000 0.000 0.000
Zn2 Zn 0.000 0.500 0.635
Ga1 Ga 0.500 0.500 0.000
Sn1 Sn 0.000 0.000 0.500
Sn2 Sn 0.000 0.500 0.870
Sn3 Sn 0.500 0.500 0.500

***

(2)
# SrZnGa2Sn PBE optimized geometry
# DOS at the Fermi energy = 2.74 states/eV per cell
# Calculated density = 5.8 g/cm³
data_SrZnGa2Sn
_chemical_formula_sum 'Sr2 Zn2 Ga4 Sn2'
_space_group_name_H-M_alt 'I m m 2'
_space_group_IT_number 44
_cell_length_a 4.511
_cell_length_b 4.643
_cell_length_c 11.217
_cell_angle_alpha 90.00
_cell_angle_beta 90.00
_cell_angle_gamma 90.00
loop_
_space_group_symop_operation_xyz
'x,y,z'
'-x,-y,z'
'-x,y,z'
'x,-y,z'
'x+1/2,y+1/2,z+1/2'
'-x+1/2,-y+1/2,z+1/2'
'-x+1/2,y+1/2,z+1/2'
'x+1/2,-y+1/2,z+1/2'
loop_
_atom_site_label
_atom_site_type_symbol
_atom_site_fract_x
_atom_site_fract_y
_atom_site_fract_z
Sr1 Sr 0.000 0.000 0.000
Zn1 Zn 0.000 0.000 0.616
Ga1 Ga 0.000 0.000 0.394
Ga2 Ga 0.000 0.500 0.253
Sn1 Sn 0.000 0.500 0.748

***

(3)
# Sr2Zn4Ga3Sn PBE optimized geometry
# DOS at the Fermi energy = 3.93 states/eV per cell
# Calculated density = 5.8 g/cm³
data_Sr2Zn4Ga3Sn
_chemical_formula_sum 'Sr2 Zn4 Ga3 Sn1'
_space_group_name_H-M_alt 'P -4 m 2'
_space_group_IT_number 115
_cell_length_a 4.445
_cell_length_b 4.445
_cell_length_c 11.053
_cell_angle_alpha 90.00
_cell_angle_beta 90.00
_cell_angle_gamma 90.00
loop_
_space_group_symop_operation_xyz
'x,y,z'
'y,-x,-z'
'-x,-y,z'
'-y,x,-z'
'-x,y,z'
'-y,-x,-z'
'x,-y,z'
'y,x,-z'
loop_
_atom_site_label
_atom_site_type_symbol
_atom_site_fract_x
_atom_site_fract_y
_atom_site_fract_z
Sr1 Sr 0.000 0.500 0.240
Zn1 Zn 0.000 0.000 0.000
Zn2 Zn 0.000 0.500 0.647
Zn3 Zn 0.500 0.500 0.000
Ga1 Ga 0.000 0.500 0.874
Ga2 Ga 0.500 0.500 0.500
Sn1 Sn 0.000 0.000 0.500

***

(4)
# Ta8Ga2Sn PBE optimized geometry
# DOS at the Fermi energy = 14.89 states/eV per cell
# Calculated density = 13.7 g/cm³
data_Ta8Ga2Sn
_chemical_formula_sum 'Ta16 Ga4 Sn2'
_space_group_name_H-M_alt 'C 1 2/m 1'
_space_group_IT_number 12
_cell_length_a 7.576
_cell_length_b 11.836
_cell_length_c 5.071
_cell_angle_alpha 90.00
_cell_angle_beta 114.94
_cell_angle_gamma 90.00
loop_
_space_group_symop_operation_xyz
'x,y,z'
'-x,-y,-z'
'-x,y,-z'
'x,-y,z'
'x+1/2,y+1/2,z'
'-x+1/2,-y+1/2,-z'
'-x+1/2,y+1/2,-z'
'x+1/2,-y+1/2,z'
loop_
_atom_site_label
_atom_site_type_symbol
_atom_site_fract_x
_atom_site_fract_y
_atom_site_fract_z
Ta1 Ta 0.000 0.239 0.000
Ta2 Ta 0.101 0.500 0.823
Ta3 Ta 0.207 0.116 0.612
Ga1 Ga 0.000 0.308 0.500
Sn1 Sn 0.000 0.000 0.000

***

Computed energy of formation, in the same sequence as the records: -3.4, -1.8, -3.5, 1.8 eV per formula unit.